Record 1
The following is a PBE calculation of a relaxed structure of LiAgPt, from the Alexandria database.

a = 4.385 Å, b = 4.380 Å, c = 5.576 Å
α = 89.92°, β = 90.00°, γ = 120.04°
Fractional positions:
1 Pt 0.667 0.334 0.606
2 Pt 0.333 0.666 0.394
3 Li 0.000 0.000 0.271
4 Li 0.000 0.000 0.729
5 Ag 0.667 0.333 0.113
6 Ag 0.333 0.667 0.887

Mass density: 11.100 g/cm3
Distance to the lowest polymorph of the same formula: 18 meV per atom
ΔH_f (0 K): -0.27 eV/atom
SG: C2/m, No. 12



Record 2
The following is a PBE calculation of a relaxed structure of PmNdTh2Bi5, from the Alexandria database.

a = 5.536 Å, b = 5.536 Å, c = 11.907 Å
α = 90.00°, β = 90.00°, γ = 90.00°
Fractional positions:
1 Bi 0.500 0.500 0.000
2 Bi 0.000 0.500 0.500
3 Bi 0.000 0.000 0.248
4 Bi 0.500 0.000 0.500
5 Bi 0.000 0.000 0.752
6 Th 0.500 0.500 0.303
7 Th 0.500 0.500 0.697
8 Nd 0.000 0.000 0.500
9 Pm 0.000 0.000 0.000

Mass density: 8.183 g/cm3
ΔH_f (0 K): 0.14 eV/atom
SG: P4/mmm, No. 123



Record 3
The following is a PBE calculation of a relaxed structure of CoSnSe2I, from the Alexandria database.

a = 5.660 Å, b = 4.607 Å, c = 5.660 Å
α = 90.00°, β = 90.00°, γ = 90.00°
Site moments in Bohr magnetons follow the coordinates.
Fractional positions:
1 Co 0.000 0.500 0.000  1.44
2 Se 0.500 0.000 0.000  0.03
3 Se 0.000 0.000 0.500  0.01
4 Sn 0.500 0.500 0.500  -0.05
5 I 0.000 0.000 0.000  0.02

Mass density: 5.204 g/cm3
E_form (uncorrected): 4.22 eV per formula unit
SG: P4/mmm, No. 123



Record 4
The following is a PBE calculation of a relaxed structure of ZrCoCCl2, from the Alexandria database.

a = 4.317 Å, b = 4.631 Å, c = 4.317 Å
α = 90.00°, β = 90.00°, γ = 90.00°
Site moments in Bohr magnetons follow the coordinates.
Fractional positions:
1 Zr 0.000 0.500 0.000  -0.37
2 Co 0.500 0.500 0.500  1.73
3 C 0.000 0.000 0.000  -0.01
4 Cl 0.500 0.000 0.000  0.01
5 Cl 0.000 0.000 0.500  0.01

Mass density: 4.484 g/cm3
E_form (uncorrected): 5.50 eV per formula unit
SG: P4/mmm, No. 123



Record 5
The following is a PBE calculation of a relaxed structure of Li2ScH, from the Alexandria database.

a = 5.714 Å, b = 5.714 Å, c = 5.713 Å
α = 59.99°, β = 59.99°, γ = 90.00°
Site moments in Bohr magnetons follow the coordinates.
Fractional positions:
1 Li 0.375 0.625 0.750  0.07
2 Li 0.375 0.625 0.250  0.06
3 Li 0.375 0.125 0.250  0.07
4 Li 0.875 0.625 0.750  0.08
5 H 0.250 0.750 0.500  0.00
6 H 0.500 0.500 0.000  0.00
7 Sc 0.000 0.000 0.000  0.93
8 Sc 0.750 0.250 0.500  0.93

Mass density: 1.507 g/cm3
Distance to the lowest polymorph of the same formula: 0 meV per atom
SG: Fd-3m, No. 227



Record 6
The following is a PBE calculation of a relaxed structure of PmBeAs, from the Alexandria database.

a = 3.828 Å, b = 3.828 Å, c = 10.380 Å
α = 90.30°, β = 90.00°, γ = 120.00°
Fractional positions:
1 Pm 0.832 0.664 0.345
2 Pm 0.168 0.336 0.655
3 As 0.163 0.326 0.152
4 As 0.837 0.674 0.848
5 Be 0.496 0.992 0.117
6 Be 0.504 0.008 0.883

Mass density: 5.771 g/cm3
ΔH_f (0 K): -0.38 eV/atom
SG: C2/m, No. 12



Record 7
The following is a PBE calculation of a relaxed structure of Ti7VSn2, from the Alexandria database.

a = 6.536 Å, b = 6.536 Å, c = 6.536 Å
α = 60.00°, β = 60.00°, γ = 60.00°
Site moments in Bohr magnetons follow the coordinates.
Fractional positions:
1 Ti 0.246 0.754 0.246  0.40
2 Ti 0.754 0.754 0.246  0.40
3 Ti 0.754 0.246 0.246  0.40
4 Ti 0.754 0.246 0.754  0.40
5 Ti 0.500 0.500 0.500  0.15
6 Ti 0.246 0.246 0.754  0.40
7 Ti 0.246 0.754 0.754  0.40
8 V 0.000 0.000 0.000  -0.07
9 Sn 0.750 0.750 0.750  -0.02
10 Sn 0.250 0.250 0.250  -0.02

Mass density: 5.242 g/cm3
ΔH_f (0 K): 0.54 eV/atom
SG: Fm-3m, No. 225



Record 8
The following is a PBE calculation of a relaxed structure of KHoSn, from the Alexandria database.

a = 5.368 Å, b = 5.368 Å, c = 8.186 Å
α = 90.00°, β = 90.00°, γ = 90.00°
Fractional positions:
1 K 0.500 0.000 0.131
2 K 0.000 0.500 0.869
3 Ho 0.500 0.500 0.500
4 Ho 0.000 0.000 0.500
5 Sn 0.500 0.000 0.688
6 Sn 0.000 0.500 0.312

Mass density: 4.544 g/cm3
ΔH_f (0 K): -0.36 eV/atom
SG: P4/nmm, No. 129